{"formula": "TlZn2", "functional": "meta-GGA SCAN", "state": "PBEsol geometry", "cell": [[-1.8094, 1.8094, 19.0362], [1.8094, -1.8094, 19.0362], [1.8094, 1.8094, -19.0362]], "species": ["Tl", "Tl", "Tl", "Tl", "Zn", "Zn", "Zn", "Zn", "Zn", "Zn", "Zn", "Zn"], "fractional_positions": [[0.2863, 0.5363, 0.7500], [0.4637, 0.7137, 0.7500], [0.5363, 0.2863, 0.2500], [0.7137, 0.4637, 0.2500], [0.0742, 0.8242, 0.2500], [0.1253, 0.3753, 0.7500], [0.1758, 0.9258, 0.2500], [0.3753, 0.1253, 0.2500], [0.6247, 0.8747, 0.7500], [0.8242, 0.0742, 0.7500], [0.8747, 0.6247, 0.2500], [0.9258, 0.1758, 0.7500]], "density_g_cm3": 8.9, "dos_at_fermi_per_ev_atom": 0.337, "formation_enthalpy_0k_ev_per_fu": 0.57}

***

{"formula": "TlZn", "functional": "meta-GGA SCAN", "state": "PBEsol geometry", "cell": [[3.1811, 0.0000, 0.0000], [0.0000, 3.1811, 0.0000], [0.0000, 0.0000, 8.6293]], "species": ["Tl", "Tl", "Zn", "Zn"], "fractional_positions": [[0.2500, 0.2500, 0.1665], [0.7500, 0.7500, 0.8335], [0.2500, 0.2500, 0.5777], [0.7500, 0.7500, 0.4223]], "density_g_cm3": 10.3, "dos_at_fermi_per_ev_atom": 0.332, "formation_enthalpy_0k_ev_per_fu": 0.31}

***

| no. | spin magnetization (Bohr magnetons per cell) |
| --- | --- |
| 1 | 0.000 |
| 2 | 0.000 |